A relaxed Pr3Dy3Ho8 crystal, computed with PBE.

Lattice parameters (Å, degrees): 5.656 10.797 15.062 90.00 90.00 90.00
Space group Immm (No. 71)
Asymmetric unit:
Pr  0.000  0.000  0.000
Pr  0.000  0.500  0.316
Dy  0.000  0.000  0.500
Dy  0.000  0.296  0.500
Ho  0.000  0.161  0.280
Ho  0.000  0.342  0.102

Properties
Energy relative to the elements, kJ per mole of atoms: 10